Record 1
The following is a DFT calculation (GGA-PBE) of an optimized crystal structure of Tb2PrHo6Sc3.

Output
The crystal system is monoclinic. The value obtained for the formation energy is 0.0454 eV per atom. As for the space-group type: C2/m (12).

```
Tb2PrHo6Sc3
1.0
6.050 0.001 0.016
-3.023 5.240 0.016
-1.036 -1.795 11.292
Tb Pr Ho Sc
2 1 6 3
direct
0.333 0.667 0.000
0.667 0.333 0.000
0.000 0.000 0.000
0.912 0.579 0.739
0.754 0.754 0.261
0.088 0.421 0.261
0.579 0.912 0.739
0.246 0.246 0.739
0.421 0.088 0.261
0.167 0.833 0.500
0.833 0.167 0.500
0.500 0.500 0.500
```

---

Record 2
The following is a DFT calculation (GGA-PBE) of an optimized crystal structure of InBi2S.

Output
The crystal system is tetragonal. As for the space-group type: I-42d (122). The raw formation energy comes out at 0.143 eV/atom.

```
InBi2S
1.0
-1.568 1.071 5.720
-5.661 -1.655 -1.242
-1.829 -7.827 4.139
S Bi In
2 4 2
direct
0.500 0.500 0.000
0.250 0.750 0.500
0.576 0.125 0.250
0.174 0.625 0.250
0.375 0.424 0.750
0.875 0.826 0.750
0.000 0.000 0.000
0.750 0.250 0.500
```

---

Record 3
The following is a DFT calculation (GGA-PBE) of an optimized crystal structure of Zn4CoTe.

Output
The crystal system is cubic. As for the space-group type: F-43m (216). The raw formation energy comes out at 0.324 eV/atom.

```
Zn4CoTe
1.0
-2.177 1.403 4.476
-3.800 -2.857 2.035
0.859 -2.778 4.276
Zn Co Te
4 1 1
direct
0.871 0.376 0.376
0.376 0.376 0.871
0.376 0.871 0.376
0.376 0.376 0.376
0.750 0.750 0.750
0.000 0.000 0.000
```

---

Record 4
The following is a DFT calculation (GGA-PBE) of an optimized crystal structure of Ba2MgH.

Output
The crystal system is tetragonal. The final energy is -2.168 eV/atom. As for the space-group type: P4/mmm (123).

```
Ba2MgH
1.0
-0.240 -0.894 3.685
3.331 -1.814 -0.223
4.245 7.536 2.103
H Mg Ba
1 1 2
direct
0.500 0.500 0.000
0.500 0.500 0.500
0.000 0.000 0.792
0.000 0.000 0.208
```

---

Record 5
The following is a DFT calculation (GGA-PBE) of an optimized crystal structure of Li2HoSn4.

Output
The crystal system is tetragonal. The value obtained for the formation energy is -0.3183 eV per atom. As for the space-group type: I4/mmm (139).

```
Li2HoSn4
1.0
-6.041 0.721 -0.700
1.125 -5.265 2.917
2.263 4.635 3.302
Li Ho Sn
2 1 4
direct
0.500 0.500 0.000
0.500 0.000 0.500
0.000 0.000 0.000
0.500 0.000 0.000
0.500 0.500 0.500
0.000 0.000 0.500
0.000 0.500 0.000
```

---

Record 6
The following is a DFT calculation (GGA-PBE) of an optimized crystal structure of GdLuP2.

Output
The crystal system is trigonal. The value obtained for the formation energy is -1.5882 eV per atom. As for the space-group type: R-3m (166).

```
GdLuP2
1.0
3.987 0.000 0.000
1.993 3.453 0.000
1.993 1.151 6.502
Gd P Lu
1 2 1
direct
0.500 0.500 0.500
0.253 0.253 0.242
0.747 0.747 0.758
0.000 0.000 0.000
```

---

Record 7
The following is a DFT calculation (GGA-PBE) of an optimized crystal structure of SrMg2Co2.

Output
The crystal system is tetragonal. The value obtained for the formation energy is 0.2293 eV per atom. As for the space-group type: I4/mmm (139).

```
SrMg2Co2
1.0
-0.199 0.325 4.354
1.055 -4.226 0.364
5.723 -0.616 2.501
Sr Mg Co
1 2 2
direct
0.000 0.000 0.000
0.750 0.250 0.500
0.250 0.750 0.500
0.400 0.400 0.200
0.600 0.600 0.800
```

---

Record 8
The following is a DFT calculation (GGA-PBE) of an optimized crystal structure of Cr2CuPdN.

Output
The crystal system is tetragonal. As for the space-group type: P4/mmm (123). The raw formation energy comes out at -0.060 eV/atom.

```
Cr2CuPdN
1.0
3.867 0.000 0.000
0.000 3.867 0.000
0.000 0.000 3.988
Cr Cu Pd N
2 1 1 1
direct
0.000 0.500 0.000
0.500 0.000 0.000
0.000 0.000 0.500
0.500 0.500 0.500
0.000 0.000 0.000
```

---

Record 9
The following is a DFT calculation (GGA-PBE) of an optimized crystal structure of SmZnAu4.

Output
The crystal system is cubic. The value obtained for the formation energy is -0.3717 eV per atom. As for the space-group type: F-43m (216).

```
SmZnAu4
1.0
5.575 0.000 0.000
2.788 4.828 0.000
2.788 1.609 4.552
Zn Au Sm
1 4 1
direct
0.000 0.000 0.000
0.625 0.625 0.124
0.625 0.124 0.625
0.625 0.625 0.625
0.124 0.625 0.625
0.250 0.250 0.250
```

---

Record 10
The following is a DFT calculation (GGA-PBE) of an optimized crystal structure of NdCu4Rh2.

Output
The crystal system is monoclinic. The value obtained for the formation energy is -0.2013 eV per atom. As for the space-group type: C2/m (12).

```
NdCu4Rh2
1.0
4.568 0.003 2.446
2.131 4.545 1.512
0.143 -0.328 5.230
Rh Nd Cu
2 1 4
direct
0.751 0.499 0.499
0.249 0.501 0.501
0.000 0.000 0.000
0.691 0.617 0.000
0.309 0.383 0.000
0.691 0.000 0.617
0.309 0.000 0.383
```

---

Record 11
The following is a DFT calculation (GGA-PBE) of an optimized crystal structure of Rb2TcPdF6.

Output
The crystal system is tetragonal. As for the space-group type: I4/mmm (139). The raw formation energy comes out at -1.985 eV/atom.

```
Rb2TcPdF6
1.0
6.392 0.000 0.000
0.000 6.392 0.000
3.196 3.196 4.494
Rb Tc Pd F
2 1 1 6
direct
0.750 0.250 0.500
0.250 0.750 0.500
0.500 0.500 0.000
0.000 0.000 0.000
0.276 0.276 0.448
0.724 0.724 0.552
0.277 0.277 0.000
0.723 0.723 0.000
0.723 0.277 0.000
0.277 0.723 0.000
```

---

Record 12
The following is a DFT calculation (GGA-PBE) of an optimized crystal structure of Ba2Si2Pd.

Output
The crystal system is tetragonal. As for the space-group type: P4/mbm (127). The raw formation energy comes out at -0.285 eV/atom.

```
Ba2Si2Pd
1.0
6.894 0.000 0.000
0.000 6.894 0.000
0.000 0.000 5.331
Si Ba Pd
4 4 2
direct
0.371 0.871 0.000
0.871 0.629 0.000
0.629 0.129 0.000
0.129 0.371 0.000
0.173 0.673 0.500
0.673 0.827 0.500
0.827 0.327 0.500
0.327 0.173 0.500
0.000 0.000 0.000
0.500 0.500 0.000
```

---

Record 13
The following is a DFT calculation (GGA-PBE) of an optimized crystal structure of SrCaAcSm.

Output
The crystal system is cubic. The value obtained for the formation energy is 0.1320 eV per atom. As for the space-group type: F-43m (216).

```
SrCaAcSm
1.0
-4.253 -4.020 -2.062
-0.251 -1.428 -6.033
1.736 -5.636 -1.929
Sr Ac Ca Sm
1 1 1 1
direct
0.250 0.250 0.250
0.500 0.500 0.500
0.000 0.000 0.000
0.750 0.750 0.750
```